1.
VASP calculation (PBE) on a geometry-optimized ScCdAgPb structure.

- D(E_F) (states/eV/atom) = 0.538
- crystal system = orthorhombic
- energy of formation from the pure elements (eV per atom) = -0.2141

Unit cell a=4.309 b=4.327 c=4.762 alpha=90.00 beta=90.00 gamma=90.00
Atoms (fractional coordinates):
Sc1 0.000 0.000 0.000
Cd1 0.000 0.500 0.500
Ag1 0.500 0.000 0.500
Pb1 0.500 0.500 0.000



2.
VASP calculation (PBE) on a geometry-optimized Sr2Cd12Ag3Pb structure.

- D(E_F) (states/eV/atom) = 0.443
- crystal system = trigonal
- energy of formation from the pure elements (eV per atom) = -0.0206

Unit cell a=7.750 b=7.750 c=7.750 alpha=86.64 beta=86.64 gamma=86.64
Atoms (fractional coordinates):
Sr1 0.248 0.248 0.248
Sr2 0.752 0.752 0.752
Cd1 0.149 0.575 0.575
Cd2 0.199 0.199 0.700
Cd3 0.199 0.700 0.199
Cd4 0.300 0.801 0.801
Cd5 0.425 0.425 0.851
Cd6 0.425 0.851 0.425
Cd7 0.575 0.149 0.575
Cd8 0.575 0.575 0.149
Cd9 0.700 0.199 0.199
Cd10 0.801 0.300 0.801
Cd11 0.801 0.801 0.300
Cd12 0.851 0.425 0.425
Ag1 0.000 0.000 0.500
Ag2 0.000 0.500 0.000
Ag3 0.500 0.000 0.000
Pb1 0.000 0.000 0.000



3.
VASP calculation (PBE) on a geometry-optimized Sr2CdAg3Pb4 structure.

- D(E_F) (states/eV/atom) = 0.433
- crystal system = tetragonal
- energy of formation from the pure elements (eV per atom) = -0.2216

Unit cell a=4.849 b=4.849 c=12.278 alpha=90.00 beta=90.00 gamma=90.00
Atoms (fractional coordinates):
Sr1 0.000 0.500 0.244
Sr2 0.500 0.000 0.756
Cd1 0.500 0.500 0.000
Ag1 0.000 0.000 0.000
Ag2 0.000 0.500 0.638
Ag3 0.500 0.000 0.362
Pb1 0.000 0.000 0.500
Pb2 0.000 0.500 0.863
Pb3 0.500 0.000 0.137
Pb4 0.500 0.500 0.500



4.
VASP calculation (PBE) on a geometry-optimized Sr2Cd4Ag3Pb structure.

- D(E_F) (states/eV/atom) = 0.712
- crystal system = tetragonal
- energy of formation from the pure elements (eV per atom) = -0.2177

Unit cell a=4.563 b=4.563 c=12.856 alpha=90.00 beta=90.00 gamma=90.00
Atoms (fractional coordinates):
Sr1 0.000 0.500 0.241
Sr2 0.500 0.000 0.759
Cd1 0.000 0.000 0.000
Cd2 0.000 0.500 0.649
Cd3 0.500 0.000 0.351
Cd4 0.500 0.500 0.000
Ag1 0.000 0.500 0.862
Ag2 0.500 0.000 0.138
Ag3 0.500 0.500 0.500
Pb1 0.000 0.000 0.500